[1]
TaAsOs2O | PBE | optimized geometry

Lattice parameters (Å, degrees): 4.744 4.744 3.561 90.00 90.00 90.00
Fractional coordinates of all 5 atoms:
Ta  0.000  0.000  0.000
As  0.500  0.500  0.500
Os  0.000  0.500  0.500
Os  0.500  0.000  0.500
O  0.500  0.500  0.000

For the density of states at the Fermi level, the calculation gives 5.2 states/eV/f.u. As for the space-group type: P4/mmm, No. 123. The calculation puts the magnetization at 0.000 μB per formula unit.

[2]
Sr2CeUO6 | PBE | optimized geometry

Lattice parameters (Å, degrees): 6.054 6.219 10.568 90.00 124.88 90.00
Fractional coordinates of all 20 atoms:
Sr  0.239  0.046  0.252
Sr  0.239  0.454  0.752
Sr  0.761  0.546  0.248
Sr  0.761  0.954  0.748
Ce  0.500  0.000  0.000
Ce  0.500  0.500  0.500
U  0.000  0.000  0.500
U  0.000  0.500  0.000
O  0.130  0.212  0.938
O  0.130  0.288  0.438
O  0.235  0.693  0.946
O  0.235  0.807  0.446
O  0.348  0.047  0.740
O  0.348  0.453  0.240
O  0.652  0.547  0.760
O  0.652  0.953  0.260
O  0.765  0.193  0.554
O  0.765  0.307  0.054
O  0.870  0.712  0.562
O  0.870  0.788  0.062

For the density of states at the Fermi level, the calculation gives 6.2 states/eV/f.u. As for the space-group type: P2_1/c, No. 14. The calculation puts the magnetization at 2.002 μB per formula unit.

no.,calculated total energy (eV per atom)
1,-7.7889
2,-8.2344